Record 1
# La3FePb

A geometry-optimized La3FePb structure (PBE-GGA, Alexandria).

The energy of formation comes out at 1.13 eV/atom. The value obtained for the magnetization is 0.630 μB/f.u. Its volume is 221 Å³/f.u. The crystal system is cubic. The calculation puts the energy above the most stable polymorph in this dataset at 1453.5 meV per atom.

It has space group Pm-3m (No. 221), with a = 6.0432 Å, b = 6.0432 Å, c = 6.0432 Å, α = 90.00°, β = 90.00° and γ = 90.00°. The distinct sites, in fractional coordinates, are La at (0.0000, 0.0000, 0.5000), Fe at (0.5000, 0.5000, 0.5000) and Pb at (0.0000, 0.0000, 0.0000).

Record 2
# La3FePb

A geometry-optimized La3FePb structure (PBE-GGA, Alexandria).

The energy of formation comes out at -0.13 eV/atom. The value obtained for the magnetization is 0.000 μB/f.u. Its volume is 153 Å³/f.u. The crystal system is monoclinic. The calculation puts the energy above the most stable polymorph in this dataset at 192.8 meV per atom.

It has space group P2_1/m (No. 11), with a = 4.6946 Å, b = 9.3031 Å, c = 7.3830 Å, α = 90.00°, β = 108.50° and γ = 90.00°. The distinct sites, in fractional coordinates, are La at (0.0449, 0.2500, 0.0892), La at (0.3555, 0.0156, 0.7126), Fe at (0.1974, 0.2500, 0.3958) and Pb at (0.2044, 0.7500, 0.4074).

Record 3
# La3FePb

A geometry-optimized La3FePb structure (PBE-GGA, Alexandria).

The energy of formation comes out at -0.15 eV/atom. The value obtained for the magnetization is 0.000 μB/f.u. Its volume is 153 Å³/f.u. The crystal system is monoclinic. The calculation puts the energy above the most stable polymorph in this dataset at 174.6 meV per atom.

It has space group C2/c (No. 15), with a = 14.2443 Å, b = 14.0668 Å, c = 6.2908 Å, α = 90.00°, β = 103.48° and γ = 90.00°. The distinct sites, in fractional coordinates, are La at (0.0707, 0.1583, 0.0404), La at (0.1100, 0.4394, 0.0697), La at (0.1557, 0.3024, 0.6025), Fe at (0.0000, 0.3174, 0.2500), Fe at (0.0000, 0.3173, 0.7500) and Pb at (0.1706, 0.0590, 0.5777).

Record 4
# La2FePb

A geometry-optimized La2FePb structure (PBE-GGA, Alexandria).

The energy of formation comes out at 0.03 eV/atom. The value obtained for the magnetization is 0.633 μB/f.u. Its volume is 118 Å³/f.u. The crystal system is trigonal. The calculation puts the energy above the most stable polymorph in this dataset at 157.9 meV per atom.

It has space group R-3m (No. 166, hexagonal axes), with a = 3.8991 Å, b = 3.8991 Å, c = 26.8040 Å, α = 90.00°, β = 90.00° and γ = 120.00°. The distinct sites, in fractional coordinates, are La at (0.0000, 0.0000, 0.2298), Fe at (0.0000, 0.0000, 0.5000) and Pb at (0.0000, 0.0000, 0.0000).

Record 5
# La2FePb

A geometry-optimized La2FePb structure (PBE-GGA, Alexandria).

The energy of formation comes out at 0.12 eV/atom. The value obtained for the magnetization is 2.395 μB/f.u. Its volume is 112 Å³/f.u. The crystal system is tetragonal. The calculation puts the energy above the most stable polymorph in this dataset at 244.8 meV per atom.

It has space group P4mm (No. 99), with a = 3.5538 Å, b = 3.5538 Å, c = 8.8815 Å, α = 90.00°, β = 90.00° and γ = 90.00°. The distinct sites, in fractional coordinates, are La at (0.0000, 0.0000, 0.0000), La at (0.5000, 0.5000, 0.3523), Fe at (0.5000, 0.5000, 0.7900) and Pb at (0.0000, 0.0000, 0.6239).

Record 6
# La2FePb

A geometry-optimized La2FePb structure (PBE-GGA, Alexandria).

The energy of formation comes out at 0.04 eV/atom. The value obtained for the magnetization is 0.000 μB/f.u. Its volume is 108 Å³/f.u. The crystal system is tetragonal. The calculation puts the energy above the most stable polymorph in this dataset at 168.2 meV per atom.

It has space group I-42d (No. 122), with a = 8.1767 Å, b = 8.1767 Å, c = 6.4660 Å, α = 90.00°, β = 90.00° and γ = 90.00°. The distinct sites, in fractional coordinates, are La at (0.1733, 0.2500, 0.1250), Fe at (0.0000, 0.0000, 0.0000) and Pb at (0.0000, 0.0000, 0.5000).